No. 1
# Pr2AlS3

An optimized crystal structure of Pr2AlS3 (GGA-PBE, Alexandria).

It has space group Immm (No. 71), with a = 3.789 Å, b = 4.631 Å, c = 15.619 Å, α = 90.00°, β = 90.00° and γ = 90.00°. The asymmetric unit holds Pr at (0.000, 0.000, 0.144), Al at (0.000, 0.000, 0.500), S at (0.000, 0.000, 0.329) and S at (0.000, 0.500, 0.500).

The value obtained for the total moment is 0.00 μB per cell. As for the calculated volume: 274.09 Å³/cell. As for the mass density: 4.91 g/cm3. The raw formation energy is -1.443 eV/atom.



No. 2
# Pr3Al5S12

An optimized crystal structure of Pr3Al5S12 (GGA-PBE, Alexandria).

It has space group Ia-3d (No. 230), with a = 15.167 Å, b = 15.167 Å, c = 15.167 Å, α = 90.00°, β = 90.00° and γ = 90.00°. The asymmetric unit holds Pr at (0.000, 0.250, 0.125), Al at (0.000, 0.000, 0.000), Al at (0.000, 0.250, 0.375) and S at (0.030, 0.055, 0.648).

The value obtained for the total moment is 0.00 μB per cell. As for the calculated volume: 3488.83 Å³/cell. As for the mass density: 3.59 g/cm3. The raw formation energy is -1.463 eV/atom.



No. 3
# PrAlS3

An optimized crystal structure of PrAlS3 (GGA-PBE, Alexandria).

It has space group Pna2_1 (No. 33), with a = 7.026 Å, b = 7.031 Å, c = 9.766 Å, α = 90.00°, β = 90.00° and γ = 90.00°. The asymmetric unit holds Pr at (0.121, 0.085, 0.000), Al at (0.204, 0.647, 0.144), S at (0.061, 0.300, 0.510), S at (0.192, 0.842, 0.324) and S at (0.196, 0.853, 0.685).

The value obtained for the total moment is 0.00 μB per cell. As for the calculated volume: 482.40 Å³/cell. As for the mass density: 3.64 g/cm3. The raw formation energy is -1.532 eV/atom. Its energy above the lowest structure with this stoichiometry is 0 meV/atom.



No. 4
# PrAl2S4

An optimized crystal structure of PrAl2S4 (GGA-PBE, Alexandria).

It has space group I4/m (No. 87), with a = 7.423 Å, b = 7.423 Å, c = 5.836 Å, α = 90.00°, β = 90.00° and γ = 90.00°. The asymmetric unit holds Pr at (0.000, 0.000, 0.000), Al at (0.000, 0.500, 0.250) and S at (0.146, 0.316, 0.500).

The value obtained for the total moment is 1.91 μB per cell. As for the calculated volume: 321.58 Å³/cell. As for the mass density: 3.34 g/cm3. The raw formation energy is -1.130 eV/atom.



No. 5
# Pr6AlS5

An optimized crystal structure of Pr6AlS5 (GGA-PBE, Alexandria).

It has space group C2/m (No. 12), with a = 7.232 Å, b = 12.479 Å, c = 7.210 Å, α = 90.00°, β = 109.42° and γ = 90.00°. The asymmetric unit holds Pr at (0.245, 0.000, 0.251), Pr at (0.246, 0.169, 0.746), Al at (0.000, 0.500, 0.000), S at (0.000, 0.000, 0.500), S at (0.000, 0.167, 0.000) and S at (0.000, 0.336, 0.500).

The value obtained for the total moment is 0.00 μB per cell. As for the calculated volume: 613.69 Å³/cell. As for the mass density: 5.59 g/cm3. The raw formation energy is -1.707 eV/atom.



No. 6
# Pr2AlS6

An optimized crystal structure of Pr2AlS6 (GGA-PBE, Alexandria).

It has space group C2/m (No. 12), with a = 12.523 Å, b = 6.963 Å, c = 4.821 Å, α = 90.00°, β = 100.56° and γ = 90.00°. The asymmetric unit holds Pr at (0.165, 0.000, 0.206), Al at (0.000, 0.500, 0.500), S at (0.000, 0.272, 0.000) and S at (0.140, 0.262, 0.668).

The value obtained for the total moment is 0.00 μB per cell. As for the calculated volume: 413.25 Å³/cell. As for the mass density: 4.03 g/cm3. The raw formation energy is -1.098 eV/atom.



No. 7
# PrScAl2S6

An optimized crystal structure of PrScAl2S6 (GGA-PBE, Alexandria).

It has space group R3 (No. 146, hexagonal axes), with a = 6.5351 Å, b = 6.5351 Å, c = 16.5684 Å, α = 90.00°, β = 90.00° and γ = 120.00°. The asymmetric unit holds Pr at (0.0000, 0.0000, 0.0000), Sc at (0.0000, 0.0000, 0.4738), Al at (0.0000, 0.0000, 0.2668), Al at (0.0000, 0.0000, 0.7765), S at (0.0106, 0.6314, 0.5314) and S at (0.0143, 0.4220, 0.0339).

The value obtained for the total moment is 0.00 μB per cell. As for the calculated volume: 612.80 Å³/cell. As for the mass density: 3.51 g/cm3. The raw formation energy is -1.412 eV/atom.



No. 8
# PrTmAl2S6

An optimized crystal structure of PrTmAl2S6 (GGA-PBE, Alexandria).

It has space group R3 (No. 146, hexagonal axes), with a = 6.6232 Å, b = 6.6232 Å, c = 16.4837 Å, α = 90.00°, β = 90.00° and γ = 120.00°. The asymmetric unit holds Pr at (0.0000, 0.0000, 0.0000), Tm at (0.0000, 0.0000, 0.5186), Al at (0.0000, 0.0000, 0.2266), Al at (0.0000, 0.0000, 0.7321), S at (0.0613, 0.7176, 0.8027) and S at (0.0856, 0.3450, 0.3018).

The value obtained for the total moment is 0.00 μB per cell. As for the calculated volume: 626.13 Å³/cell. As for the mass density: 4.43 g/cm3. The raw formation energy is -1.458 eV/atom.



Which of these has the lowest mass density? PrAl2S4